a) VASP calculation (PBE) on AlCoSbI2 after structural relaxation.

Density, g/cm³: 4.7
Space-group type: P4/mmm
Size of the total moment, Bohr magnetons per cell: 2.4

abc: 5.4509 5.4509 5.5174
angles: 90.00 90.00 90.00
Closest atoms and distances in Å follow each position.
Positions (direct):
1 I 0.0000 0.5000 0.0000  2 Al 2.73
2 I 0.5000 0.0000 0.0000  2 Al 2.73
3 Sb 0.0000 0.0000 0.5000  2 Al 2.76
4 Co 0.5000 0.5000 0.5000  4 Sb 3.85, 8 I 3.88
5 Al 0.0000 0.0000 0.0000  4 I 2.73, 2 Sb 2.76

b) VASP calculation (PBE) on AlCoSbI2 after structural relaxation.

Density, g/cm³: 5.2
Space-group type: P4/mmm
Size of the total moment, Bohr magnetons per cell: 0.0

abc: 5.5669 5.5669 4.7360
angles: 90.00 90.00 90.00
Closest atoms and distances in Å follow each position.
Positions (direct):
1 I 0.0000 0.5000 0.0000  2 Co 2.78
2 I 0.5000 0.0000 0.0000  2 Co 2.78
3 Sb 0.0000 0.0000 0.5000  2 Co 2.37
4 Co 0.0000 0.0000 0.0000  2 Sb 2.37
5 Al 0.5000 0.5000 0.5000  8 I 3.65, 4 Sb 3.94

Stability check: which of them is most stable? b).

a) VASP calculation (PBE) on NbAlCo2Ir after structural relaxation.

Density, g/cm³: 7.2
Space-group type: P4/mmm
Size of the total moment, Bohr magnetons per cell: 4.1

abc: 4.5616 4.7911 4.5616
angles: 90.00 90.00 90.00
Closest atoms and distances in Å follow each position.
Positions (direct):
1 Nb 0.0000 0.5000 0.0000  2 Ir 2.40
2 Ir 0.0000 0.0000 0.0000  4 Co 2.28, 2 Nb 2.40
3 Co 0.0000 0.0000 0.5000  2 Ir 2.28
4 Co 0.5000 0.0000 0.0000  2 Ir 2.28
5 Al 0.5000 0.5000 0.5000  4 Nb 3.23, 8 Co 3.31

b) VASP calculation (PBE) on NbAlCo2Ir after structural relaxation.

Density, g/cm³: 9.0
Space-group type: P4/mmm
Size of the total moment, Bohr magnetons per cell: 1.4

abc: 4.0973 4.7279 4.0973
angles: 90.00 90.00 90.00
Closest atoms and distances in Å follow each position.
Positions (direct):
1 Nb 0.0000 0.5000 0.0000  2 Al 2.36
2 Ir 0.5000 0.5000 0.5000  4 Nb 2.90, 8 Co 3.13
3 Co 0.0000 0.0000 0.5000  2 Al 2.05
4 Co 0.5000 0.0000 0.0000  2 Al 2.05
5 Al 0.0000 0.0000 0.0000  4 Co 2.05

Stability check: which of them is most stable? a).

a) VASP calculation (PBE) on KAlCo after structural relaxation.

Density, g/cm³: 3.1
Space-group type: I4mm
Size of the total moment, Bohr magnetons per cell: 0.6

abc: 6.5738 6.5738 3.3080
angles: 75.43 75.43 29.14
Closest atoms and distances in Å follow each position.
Positions (direct):
1 K 0.6692 0.6692 0.3308  1 Al 3.23, 4 K 3.31, 1 Co 3.32
2 Co 0.3989 0.3989 0.6011  4 Al 2.37
3 Al 0.9319 0.9318 0.0681  4 Co 2.37

b) VASP calculation (PBE) on KAlCo after structural relaxation.

Density, g/cm³: 3.0
Space-group type: F-43m
Size of the total moment, Bohr magnetons per cell: 0.7

abc: 4.6288 4.6288 4.6288
angles: 60.00 60.00 60.00
Closest atoms and distances in Å follow each position.
Positions (direct):
1 K 0.0000 0.0000 0.0000  4 Co 2.83
2 Co 0.2500 0.2500 0.2500  4 Al 2.83, 4 K 2.83
3 Al 0.5000 0.5000 0.5000  4 Co 2.83

Stability check: which of them is most stable? a).

a) VASP calculation (PBE) on KAlCo after structural relaxation.

Density, g/cm³: 2.2
Space-group type: F-43m
Size of the total moment, Bohr magnetons per cell: 1.6

abc: 5.0898 5.0898 5.0898
angles: 60.00 60.00 60.00
Closest atoms and distances in Å follow each position.
Positions (direct):
1 K 0.2500 0.2500 0.2500  4 Al 3.12, 4 Co 3.12
2 Co 0.5000 0.5000 0.5000  4 K 3.12
3 Al 0.0000 0.0000 0.0000  4 K 3.12

b) VASP calculation (PBE) on KAlCo after structural relaxation.

Density, g/cm³: 3.3
Space-group type: P3m1
Size of the total moment, Bohr magnetons per cell: 1.5

abc: 5.0367 5.0367 2.8387
angles: 90.00 90.00 120.00
Closest atoms and distances in Å follow each position.
Positions (direct):
1 K 0.3333 0.6667 0.6647  2 K 2.84
2 Co 0.6667 0.3333 0.1708  2 Co 2.84, 3 Al 2.91
3 Al 0.0000 0.0000 0.1645  2 Al 2.84, 3 Co 2.91

c) VASP calculation (PBE) on KAlCo after structural relaxation.

Density, g/cm³: 3.5
Space-group type: P3m1
Size of the total moment, Bohr magnetons per cell: 0.8

abc: 3.0453 3.0453 7.4491
angles: 90.00 90.00 120.00
Closest atoms and distances in Å follow each position.
Positions (direct):
1 K 0.3333 0.6667 0.6465  6 K 3.05, 3 Co 3.19
2 Co 0.6667 0.3333 0.2885  3 Al 2.42
3 Al 0.0000 0.0000 0.0650  3 Co 2.42

Stability check: which of them is most stable? c).

a) VASP calculation (PBE) on La4AlCo after structural relaxation.

Density, g/cm³: 6.2
Space-group type: P2_1/m
Size of the total moment, Bohr magnetons per cell: 0.0

abc: 5.8353 7.1292 9.2515
angles: 90.00 116.40 90.00
Closest atoms and distances in Å follow each position.
Positions (direct):
1 La 0.5623 0.2500 0.4587  1 Co 2.64
2 La 0.4377 0.7500 0.5413  1 Co 2.64
3 La 0.6772 0.2500 0.8872  1 Co 3.09, 2 Al 3.31-3.33
4 La 0.3228 0.7500 0.1128  1 Co 3.09, 2 Al 3.31-3.33
5 La 0.9051 0.0091 0.2701  2 Co 2.69-2.97
6 La 0.0949 0.5091 0.7299  2 Co 2.69-2.97
7 La 0.9051 0.4909 0.2701  2 Co 2.69-2.97
8 La 0.0949 0.9909 0.7299  2 Co 2.69-2.97
9 Al 0.3140 0.2500 0.0782  5 La 3.16-3.43
10 Al 0.6860 0.7500 0.9218  5 La 3.16-3.43
11 Co 0.1998 0.2500 0.5557  3 La 2.64-2.69
12 Co 0.8002 0.7500 0.4443  3 La 2.64-2.69

b) VASP calculation (PBE) on La4AlCo after structural relaxation.

Density, g/cm³: 5.9
Space-group type: F-43m
Size of the total moment, Bohr magnetons per cell: 2.0

abc: 6.3478 6.3478 6.3478
angles: 60.00 60.00 60.00
Closest atoms and distances in Å follow each position.
Positions (direct):
1 La 0.8736 0.3755 0.3755  6 La 3.16-3.19
2 La 0.3755 0.3755 0.8736  6 La 3.16-3.19
3 La 0.3755 0.8736 0.3755  6 La 3.16-3.19
4 La 0.3755 0.3755 0.3755  6 La 3.16-3.19
5 Al 0.7500 0.7500 0.7500  12 La 3.72, 4 Co 3.89
6 Co 0.0000 0.0000 0.0000  12 La 3.72, 4 Al 3.89

Stability check: which of them is most stable? a).

a) VASP calculation (PBE) on La2Al2Co after structural relaxation.

Density, g/cm³: 4.9
Space-group type: I4/mmm
Size of the total moment, Bohr magnetons per cell: 1.0

abc: 6.1156 6.1156 5.5872
angles: 56.82 56.82 90.00
Closest atoms and distances in Å follow each position.
Positions (direct):
1 Co 0.0000 0.0000 0.0000  2 Al 2.32
2 Al 0.3274 0.3274 0.3452  1 Co 2.32, 1 Al 2.44
3 Al 0.6726 0.6726 0.6548  1 Co 2.32, 1 Al 2.44
4 La 0.7500 0.2500 0.5000  4 Al 3.11
5 La 0.2500 0.7500 0.5000  4 Al 3.11

b) VASP calculation (PBE) on La2Al2Co after structural relaxation.

Density, g/cm³: 5.8
Space-group type: P4/mbm
Size of the total moment, Bohr magnetons per cell: 0.1

abc: 6.6236 6.6236 5.1359
angles: 90.00 90.00 90.00
Closest atoms and distances in Å follow each position.
Positions (direct):
1 Co 0.0000 0.0000 0.0000  4 Al 2.52
2 Co 0.5000 0.5000 0.0000  4 Al 2.52
3 Al 0.3499 0.8499 0.0000  2 Co 2.52, 1 Al 2.81
4 Al 0.8499 0.6501 0.0000  2 Co 2.52, 1 Al 2.81
5 Al 0.6501 0.1501 0.0000  2 Co 2.52, 1 Al 2.81
6 Al 0.1501 0.3499 0.0000  2 Co 2.52, 1 Al 2.81
7 La 0.1687 0.6687 0.5000  6 Al 3.08-3.33, 1 La 3.16
8 La 0.6687 0.8313 0.5000  6 Al 3.08-3.33, 1 La 3.16
9 La 0.8313 0.3313 0.5000  6 Al 3.08-3.33, 1 La 3.16
10 La 0.3313 0.1687 0.5000  6 Al 3.08-3.33, 1 La 3.16

c) VASP calculation (PBE) on La2Al2Co after structural relaxation.

Density, g/cm³: 5.0
Space-group type: I4/mmm
Size of the total moment, Bohr magnetons per cell: 1.5

abc: 7.6443 7.6443 7.6443
angles: 147.34 147.34 46.86
Closest atoms and distances in Å follow each position.
Positions (direct):
1 La 0.2500 0.7500 0.5000  4 La 3.04, 4 Al 3.15
2 La 0.7500 0.2500 0.5000  4 La 3.04, 4 Al 3.15
3 Al 0.5855 0.5855 0.0000  1 Al 2.40
4 Al 0.4145 0.4145 0.0000  1 Al 2.40
5 Co 0.0000 0.0000 0.0000  8 Al 3.27

Stability check: which of them is most stable? b).

a) VASP calculation (PBE) on La2AlCoTe after structural relaxation.

Density, g/cm³: 6.2
Space-group type: P4/mmm
Size of the total moment, Bohr magnetons per cell: 0.0

abc: 5.3530 5.3530 4.6000
angles: 90.00 90.00 90.00
Closest atoms and distances in Å follow each position.
Positions (direct):
1 Te 0.5000 0.5000 0.5000  8 La 3.53, 4 Al 3.79
2 Co 0.0000 0.0000 0.0000  2 Al 2.30
3 Al 0.0000 0.0000 0.5000  2 Co 2.30
4 La 0.0000 0.5000 0.0000  2 Co 2.68
5 La 0.5000 0.0000 0.0000  2 Co 2.68

b) VASP calculation (PBE) on La2AlCoTe after structural relaxation.

Density, g/cm³: 6.0
Space-group type: P4/mmm
Size of the total moment, Bohr magnetons per cell: 0.0

abc: 5.2803 4.8477 5.2803
angles: 90.00 90.00 90.00
Closest atoms and distances in Å follow each position.
Positions (direct):
1 Te 0.0000 0.5000 0.0000  2 Co 2.42
2 Co 0.0000 0.0000 0.0000  2 Te 2.42, 4 La 2.64
3 Al 0.5000 0.5000 0.5000  8 La 3.58, 4 Te 3.73
4 La 0.0000 0.0000 0.5000  2 Co 2.64
5 La 0.5000 0.0000 0.0000  2 Co 2.64

Stability check: which of them is most stable? a).

a) VASP calculation (PBE) on Mg6AlCo after structural relaxation.

Density, g/cm³: 2.5
Space-group type: Amm2
Size of the total moment, Bohr magnetons per cell: 0.4

abc: 6.0979 6.0979 4.7663
angles: 90.00 90.00 120.32
Closest atoms and distances in Å follow each position.
Positions (direct):
1 Mg 0.8238 0.6501 0.0000  1 Al 2.83, 7 Mg 2.88-3.06, 2 Co 2.97
2 Mg 0.3499 0.1762 0.0000  1 Al 2.83, 7 Mg 2.88-3.06, 2 Co 2.97
3 Mg 0.3316 0.6684 0.0000  10 Mg 2.95-3.06, 2 Al 3.04
4 Mg 0.6694 0.8435 0.5000  1 Co 2.83, 8 Mg 2.96-3.11, 2 Al 2.98
5 Mg 0.1565 0.3306 0.5000  1 Co 2.83, 8 Mg 2.96-3.11, 2 Al 2.98
6 Mg 0.1667 0.8333 0.5000  10 Mg 2.95-3.06, 2 Co 3.04
7 Al 0.8172 0.1828 0.0000  2 Co 2.76, 8 Mg 2.83-3.04
8 Co 0.6849 0.3151 0.5000  2 Al 2.76, 8 Mg 2.83-3.04

b) VASP calculation (PBE) on Mg6AlCo after structural relaxation.

Density, g/cm³: 2.5
Space-group type: Amm2
Size of the total moment, Bohr magnetons per cell: 0.8

abc: 6.0393 6.0393 4.8763
angles: 90.00 90.00 120.25
Closest atoms and distances in Å follow each position.
Positions (direct):
1 Mg 0.8333 0.6680 0.5000  8 Mg 3.00-3.02, 2 Co 3.01-3.03, 2 Al 3.01-3.03
2 Mg 0.3320 0.1667 0.5000  8 Mg 3.00-3.02, 2 Co 3.01-3.03, 2 Al 3.01-3.03
3 Mg 0.6541 0.8284 0.0000  8 Mg 2.88-3.16, 2 Co 2.96, 2 Al 3.02
4 Mg 0.1716 0.3459 0.0000  8 Mg 2.88-3.16, 2 Co 2.96, 2 Al 3.02
5 Mg 0.6702 0.3298 0.0000  2 Al 2.97, 10 Mg 2.98-3.06
6 Mg 0.1758 0.8242 0.0000  10 Mg 2.88-3.16, 2 Co 2.93
7 Al 0.8315 0.1685 0.5000  10 Mg 2.97-3.03, 2 Co 3.01
8 Co 0.3315 0.6685 0.5000  10 Mg 2.93-3.03, 2 Al 3.01

Stability check: which of them is most stable? a).

a) VASP calculation (PBE) on Mg3AlCo after structural relaxation.

Density, g/cm³: 2.4
Space-group type: Pm-3m
Size of the total moment, Bohr magnetons per cell: 0.0

abc: 4.7803 4.7803 4.7803
angles: 90.00 90.00 90.00
Closest atoms and distances in Å follow each position.
Positions (direct):
1 Mg 0.0000 0.5000 0.0000  2 Co 2.39
2 Mg 0.0000 0.0000 0.5000  2 Co 2.39
3 Mg 0.5000 0.0000 0.0000  2 Co 2.39
4 Co 0.0000 0.0000 0.0000  6 Mg 2.39
5 Al 0.5000 0.5000 0.5000  12 Mg 3.38

b) VASP calculation (PBE) on Mg3AlCo after structural relaxation.

Density, g/cm³: 2.0
Space-group type: Pm-3m
Size of the total moment, Bohr magnetons per cell: 2.1

abc: 5.0881 5.0881 5.0881
angles: 90.00 90.00 90.00
Closest atoms and distances in Å follow each position.
Positions (direct):
1 Mg 0.0000 0.5000 0.0000  2 Al 2.54
2 Mg 0.0000 0.0000 0.5000  2 Al 2.54
3 Mg 0.5000 0.0000 0.0000  2 Al 2.54
4 Co 0.5000 0.5000 0.5000  12 Mg 3.60
5 Al 0.0000 0.0000 0.0000  6 Mg 2.54

Stability check: which of them is most stable? a).

a) VASP calculation (PBE) on MgAlCo after structural relaxation.

Density, g/cm³: 3.6
Space-group type: F-43m
Size of the total moment, Bohr magnetons per cell: 0.0

abc: 4.1419 4.1419 4.1419
angles: 60.00 60.00 60.00
Closest atoms and distances in Å follow each position.
Positions (direct):
1 Al 0.5000 0.5000 0.5000  4 Co 2.54
2 Co 0.7500 0.7500 0.7500  4 Al 2.54, 4 Mg 2.54
3 Mg 0.0000 0.0000 0.0000  4 Co 2.54

b) VASP calculation (PBE) on MgAlCo after structural relaxation.

Density, g/cm³: 4.0
Space-group type: P3m1
Size of the total moment, Bohr magnetons per cell: 0.7

abc: 2.8664 2.8664 6.4485
angles: 90.00 90.00 120.00
Closest atoms and distances in Å follow each position.
Positions (direct):
1 Al 0.0000 0.0000 0.0413  3 Co 2.44
2 Co 0.3333 0.6667 0.3186  3 Al 2.44, 3 Mg 2.65
3 Mg 0.6667 0.3333 0.6401  3 Co 2.65, 6 Mg 2.87

c) VASP calculation (PBE) on MgAlCo after structural relaxation.

Density, g/cm³: 4.1
Space-group type: P3m1
Size of the total moment, Bohr magnetons per cell: 0.0

abc: 4.1896 4.1896 2.9359
angles: 90.00 90.00 120.00
Closest atoms and distances in Å follow each position.
Positions (direct):
1 Al 0.0000 0.0000 0.1682  3 Co 2.42
2 Co 0.3333 0.6667 0.1655  3 Al 2.42
3 Mg 0.6667 0.3333 0.6663  6 Al 2.83, 6 Co 2.83, 2 Mg 2.94

d) VASP calculation (PBE) on MgAlCo after structural relaxation.

Density, g/cm³: 4.2
Space-group type: I4mm
Size of the total moment, Bohr magnetons per cell: 0.4

abc: 5.3028 5.3029 3.0099
angles: 73.51 73.51 32.97
Closest atoms and distances in Å follow each position.
Positions (direct):
1 Al 0.9686 0.9686 0.0314  4 Co 2.42
2 Co 0.3505 0.3505 0.6495  4 Al 2.42, 4 Mg 2.69
3 Mg 0.6809 0.6809 0.3191  4 Co 2.69, 5 Al 2.79-2.96, 4 Mg 3.01

Stability check: which of them is most stable? d).

a) VASP calculation (PBE) on MgAl2Co2 after structural relaxation.

Density, g/cm³: 4.3
Space-group type: I4/mmm
Size of the total moment, Bohr magnetons per cell: 0.0

abc: 3.8039 3.8039 5.8333
angles: 70.97 70.97 90.00
Closest atoms and distances in Å follow each position.
Positions (direct):
1 Mg 0.0000 0.0000 0.0000  8 Co 2.91, 8 Al 3.21
2 Co 0.3929 0.3929 0.2143  1 Co 2.22, 4 Al 2.41
3 Co 0.6071 0.6071 0.7857  1 Co 2.22, 4 Al 2.41
4 Al 0.7500 0.2500 0.5000  4 Co 2.41, 4 Al 2.69
5 Al 0.2500 0.7500 0.5000  4 Co 2.41, 4 Al 2.69

b) VASP calculation (PBE) on MgAl2Co2 after structural relaxation.

Density, g/cm³: 4.8
Space-group type: P4/mbm
Size of the total moment, Bohr magnetons per cell: 0.0

abc: 7.0047 7.0047 2.7468
angles: 90.00 90.00 90.00
Closest atoms and distances in Å follow each position.
Positions (direct):
1 Mg 0.0000 0.0000 0.0000  4 Al 2.73, 2 Mg 2.75, 8 Co 2.96
2 Mg 0.5000 0.5000 0.0000  4 Al 2.73, 2 Mg 2.75, 8 Co 2.96
3 Co 0.1616 0.6616 0.5000  6 Al 2.45-2.49
4 Co 0.6616 0.8384 0.5000  6 Al 2.45-2.49
5 Co 0.8384 0.3384 0.5000  6 Al 2.45-2.49
6 Co 0.3384 0.1616 0.5000  6 Al 2.45-2.49
7 Al 0.3667 0.8667 0.0000  6 Co 2.45-2.49, 1 Al 2.64, 2 Mg 2.73
8 Al 0.8667 0.6333 0.0000  6 Co 2.45-2.49, 1 Al 2.64, 2 Mg 2.73
9 Al 0.6333 0.1333 0.0000  6 Co 2.45-2.49, 1 Al 2.64, 2 Mg 2.73
10 Al 0.1333 0.3667 0.0000  6 Co 2.45-2.49, 1 Al 2.64, 2 Mg 2.73

c) VASP calculation (PBE) on MgAl2Co2 after structural relaxation.

Density, g/cm³: 4.2
Space-group type: I4/mmm
Size of the total moment, Bohr magnetons per cell: 0.0

abc: 4.0440 4.0440 5.5598
angles: 68.67 68.67 90.00
Closest atoms and distances in Å follow each position.
Positions (direct):
1 Mg 0.0000 0.0000 0.0000  8 Co 3.13, 10 Al 3.14-3.48
2 Co 0.7500 0.2500 0.5000  4 Al 2.30
3 Co 0.2500 0.7500 0.5000  4 Al 2.30
4 Al 0.3649 0.3649 0.2701  4 Co 2.30
5 Al 0.6351 0.6351 0.7299  4 Co 2.30

Stability check: which of them is most stable? b).